# 1
! SrGaSn2, optimized geometry, DFT PBE-GGA; values from VASP
! * calculated density: 5.52 Mg/m³
! * SG: No. 166
! * M_tot: 0.000 μB per cell
! * formation energy from the elements: -0.2833 eV per atom
&SYSTEM
  ibrav = 0, nat = 4, ntyp = 3
/
ATOMIC_SPECIES
Sr 87.62 Sr.upf
Ga 69.72 Ga.upf
Sn 118.71 Sn.upf
ATOMIC_POSITIONS crystal
Sr 0.0000 0.0000 0.0000
Ga 0.5000 0.5000 0.5000
Sn 0.2140 0.2140 0.2140
Sn 0.7860 0.7860 0.7860
CELL_PARAMETERS angstrom
2.4660 1.4237 5.6358
-2.4660 1.4237 5.6358
0.0000 -2.8474 5.6358


# 2
! Sr3GaSn2, optimized geometry, DFT PBE-GGA; values from VASP
! * calculated density: 4.58 Mg/m³
! * SG: No. 62
! * M_tot: 0.000 μB per cell
! * formation energy from the elements: -0.5787 eV per atom
&SYSTEM
  ibrav = 0, nat = 24, ntyp = 3
/
ATOMIC_SPECIES
Sr 87.62 Sr.upf
Ga 69.72 Ga.upf
Sn 118.71 Sn.upf
ATOMIC_POSITIONS crystal
Sr 0.0636 0.2500 0.1191
Sr 0.1206 0.7500 0.5519
Sr 0.2029 0.2500 0.7952
Sr 0.2971 0.7500 0.2952
Sr 0.3794 0.2500 0.0519
Sr 0.4364 0.7500 0.6191
Sr 0.5636 0.2500 0.3809
Sr 0.6206 0.7500 0.9481
Sr 0.7029 0.2500 0.7048
Sr 0.7971 0.7500 0.2048
Sr 0.8794 0.2500 0.4481
Sr 0.9364 0.7500 0.8809
Ga 0.1431 0.2500 0.3481
Ga 0.3569 0.7500 0.8481
Ga 0.6431 0.2500 0.1519
Ga 0.8569 0.7500 0.6519
Sn 0.0263 0.7500 0.3165
Sn 0.1968 0.7500 0.9876
Sn 0.3032 0.2500 0.4876
Sn 0.4737 0.2500 0.8165
Sn 0.5263 0.7500 0.1835
Sn 0.6968 0.7500 0.5124
Sn 0.8032 0.2500 0.0124
Sn 0.9737 0.2500 0.6835
CELL_PARAMETERS angstrom
13.2025 0.0000 0.0000
0.0000 4.6251 0.0000
0.0000 0.0000 13.5355


# 3
! Sr3GaSn, optimized geometry, DFT PBE-GGA; values from VASP
! * calculated density: 3.50 Mg/m³
! * SG: No. 221
! * M_tot: 1.474 μB per cell
! * formation energy from the elements: -0.0752 eV per atom
! * excess energy over the best structure of this formula in the dataset: 0.0000 eV per atom
&SYSTEM
  ibrav = 0, nat = 5, ntyp = 3
/
ATOMIC_SPECIES
Sr 87.62 Sr.upf
Ga 69.72 Ga.upf
Sn 118.71 Sn.upf
ATOMIC_POSITIONS crystal
Sr 0.0000 0.0000 0.5000
Sr 0.0000 0.5000 0.0000
Sr 0.5000 0.0000 0.0000
Ga 0.0000 0.0000 0.0000
Sn 0.5000 0.5000 0.5000
CELL_PARAMETERS angstrom
5.9846 0.0000 0.0000
0.0000 5.9846 0.0000
0.0000 0.0000 5.9846


# 4
! Sr2GaSn, optimized geometry, DFT PBE-GGA; values from VASP
! * calculated density: 4.76 Mg/m³
! * SG: No. 123
! * M_tot: 0.000 μB per cell
! * formation energy from the elements: -0.4703 eV per atom
! * excess energy over the best structure of this formula in the dataset: 0.1012 eV per atom
&SYSTEM
  ibrav = 0, nat = 4, ntyp = 3
/
ATOMIC_SPECIES
Sr 87.62 Sr.upf
Ga 69.72 Ga.upf
Sn 118.71 Sn.upf
ATOMIC_POSITIONS crystal
Sr 0.0000 0.5000 0.0000
Sr 0.5000 0.0000 0.0000
Ga 0.0000 0.0000 0.5000
Sn 0.5000 0.5000 0.5000
CELL_PARAMETERS angstrom
5.4193 0.0000 0.0000
0.0000 5.4193 0.0000
0.0000 0.0000 4.3240


# 5
! Sr2Ga3Sn, optimized geometry, DFT PBE-GGA; values from VASP
! * calculated density: 5.02 Mg/m³
! * SG: No. 69
! * M_tot: 0.000 μB per cell
! * formation energy from the elements: -0.5231 eV per atom
! * excess energy over the best structure of this formula in the dataset: 0.0000 eV per atom
&SYSTEM
  ibrav = 0, nat = 12, ntyp = 3
/
ATOMIC_SPECIES
Sr 87.62 Sr.upf
Ga 69.72 Ga.upf
Sn 118.71 Sn.upf
ATOMIC_POSITIONS crystal
Sr 0.2450 0.7550 0.2450
Sr 0.2500 0.2500 0.2500
Sr 0.7500 0.7500 0.7500
Sr 0.7550 0.2450 0.7550
Ga 0.1800 0.6602 0.8200
Ga 0.3398 0.8200 0.6602
Ga 0.3407 0.3407 0.6593
Ga 0.6593 0.6593 0.3407
Ga 0.6602 0.1800 0.3398
Ga 0.8200 0.3398 0.1800
Sn 0.1675 0.1675 0.8325
Sn 0.8325 0.8325 0.1675
CELL_PARAMETERS angstrom
0.0000 4.8125 7.7467
4.4658 0.0000 7.7467
4.4658 4.8125 0.0000


# 6
! Sr3GaSn3, optimized geometry, DFT PBE-GGA; values from VASP
! * calculated density: 5.10 Mg/m³
! * SG: No. 12
! * M_tot: 0.000 μB per cell
! * formation energy from the elements: -0.5919 eV per atom
! * excess energy over the best structure of this formula in the dataset: 0.0000 eV per atom
&SYSTEM
  ibrav = 0, nat = 14, ntyp = 3
/
ATOMIC_SPECIES
Sr 87.62 Sr.upf
Ga 69.72 Ga.upf
Sn 118.71 Sn.upf
ATOMIC_POSITIONS crystal
Sr 0.0198 0.0198 0.3826
Sr 0.1047 0.1047 0.9227
Sr 0.2308 0.2308 0.2303
Sr 0.7692 0.7692 0.7697
Sr 0.8953 0.8953 0.0773
Sr 0.9802 0.9802 0.6174
Ga 0.2813 0.2813 0.6093
Ga 0.7187 0.7187 0.3907
Sn 0.3483 0.3483 0.4516
Sn 0.3890 0.3890 0.9233
Sn 0.4827 0.4827 0.7691
Sn 0.5173 0.5173 0.2309
Sn 0.6110 0.6110 0.0767
Sn 0.6517 0.6517 0.5484
CELL_PARAMETERS angstrom
6.0790 -2.4809 0.0000
6.0790 2.4809 0.0000
-5.1196 0.0000 14.8644